PBE K2Cd5Hg12, relaxed; SG = No. 166; final energy = -0.636 eV per atom; crystal system = trigonal
1.0
8.134 0.396 1.113
1.024 8.079 1.113
0.427 0.396 8.199
Hg K Cd
12 2 5
direct
0.000 0.295 0.705
0.361 0.361 0.855
0.000 0.705 0.295
0.705 0.000 0.295
0.639 0.639 0.145
0.705 0.295 0.000
0.361 0.855 0.361
0.639 0.145 0.639
0.295 0.705 0.000
0.295 0.000 0.705
0.145 0.639 0.639
0.855 0.361 0.361
0.338 0.338 0.338
0.662 0.662 0.662
0.000 0.500 0.000
0.000 0.000 0.500
0.500 0.000 0.000
0.096 0.096 0.096
0.904 0.904 0.904